# 1
Material: CsLiPb
Method: DFT, GGA-PBE
State: relaxed

## Properties
ΔH_f (0 K): -162 meV/atom
Volume: 39.78 Å³ per atom
Distance to the lowest polymorph of the same formula: 30.3 meV/atom
E: -2.320 eV/atom
Density of states at the Fermi level: 1.803 states/eV/cell

a = 4.925 Å, b = 5.762 Å, c = 8.410 Å
α = 90.00°, β = 90.20°, γ = 90.00°
Element x y z (fractional)
Cs 0.000 0.000 0.000
Cs 0.498 0.500 0.715
Li 0.003 0.255 0.374
Li 0.003 0.745 0.374
Pb 0.503 0.500 0.221
Pb 0.504 0.000 0.425

=====

# 2
Material: CsLiPb3
Method: DFT, GGA-PBE
State: relaxed

## Properties
ΔH_f (0 K): 1080 meV/atom
Volume: 53.13 Å³ per atom
Distance to the lowest polymorph of the same formula: 1248.0 meV/atom
E: -1.699 eV/atom
Density of states at the Fermi level: 3.944 states/eV/cell

a = 6.429 Å, b = 6.429 Å, c = 6.429 Å
α = 90.00°, β = 90.00°, γ = 90.00°
Element x y z (fractional)
Cs 0.000 0.000 0.000
Li 0.500 0.500 0.500
Pb 0.000 0.000 0.500
Pb 0.000 0.500 0.000
Pb 0.500 0.000 0.000

=====

# 3
Material: CsLi2Pb9
Method: DFT, GGA-PBE
State: relaxed

## Properties
ΔH_f (0 K): -116 meV/atom
Volume: 32.46 Å³ per atom
E: -3.287 eV/atom
Density of states at the Fermi level: 4.892 states/eV/cell

a = 9.720 Å, b = 9.720 Å, c = 4.760 Å
α = 90.00°, β = 90.00°, γ = 120.00°
Element x y z (fractional)
Cs 0.000 0.000 0.000
Li 0.333 0.667 0.000
Li 0.667 0.333 0.000
Pb 0.000 0.500 0.000
Pb 0.215 0.429 0.500
Pb 0.215 0.785 0.500
Pb 0.429 0.215 0.500
Pb 0.500 0.000 0.000
Pb 0.500 0.500 0.000
Pb 0.571 0.785 0.500
Pb 0.785 0.215 0.500
Pb 0.785 0.571 0.500

=====

# 4
Material: Cs2LiPb
Method: DFT, GGA-PBE
State: relaxed

## Properties
ΔH_f (0 K): 19 meV/atom
Volume: 62.63 Å³ per atom
Distance to the lowest polymorph of the same formula: 0.0 meV/atom
E: -1.813 eV/atom
Density of states at the Fermi level: 5.649 states/eV/cell

a = 10.013 Å, b = 10.013 Å, c = 10.013 Å
α = 94.15°, β = 94.15°, γ = 148.79°
Element x y z (fractional)
Cs 0.375 0.206 0.331
Cs 0.794 0.125 0.169
Cs 0.875 0.044 0.669
Cs 0.956 0.625 0.831
Li 0.000 0.000 0.000
Li 0.750 0.250 0.500
Pb 0.250 0.750 0.500
Pb 0.500 0.500 0.000

=====

Copy entry 4 word for word.
Material: Cs2LiPb
Method: DFT, GGA-PBE
State: relaxed

## Properties
ΔH_f (0 K): 19 meV/atom
Volume: 62.63 Å³ per atom
Distance to the lowest polymorph of the same formula: 0.0 meV/atom
E: -1.813 eV/atom
Density of states at the Fermi level: 5.649 states/eV/cell

a = 10.013 Å, b = 10.013 Å, c = 10.013 Å
α = 94.15°, β = 94.15°, γ = 148.79°
Element x y z (fractional)
Cs 0.375 0.206 0.331
Cs 0.794 0.125 0.169
Cs 0.875 0.044 0.669
Cs 0.956 0.625 0.831
Li 0.000 0.000 0.000
Li 0.750 0.250 0.500
Pb 0.250 0.750 0.500
Pb 0.500 0.500 0.000